The following is a DFT calculation (PBE-GGA) of an optimized crystal structure of PuZr2CoN4.

```
16
Lattice="1.620 -5.443 0.000 1.620 5.443 0.000 0.000 0.000 11.084" Properties=species:S:1:pos:R:3 pbc="T T T"
Pu 1.620 4.267 8.313
Pu 1.620 -4.267 2.771
Zr 1.620 1.436 6.154
Zr 1.620 1.436 10.472
Zr 1.620 -1.436 0.612
Zr 1.620 -1.436 4.930
Co 1.620 3.730 2.771
Co 1.620 -3.730 8.313
N 0.000 0.000 0.000
N 0.000 0.000 5.542
N 1.620 2.483 1.312
N 1.620 2.483 4.230
N 1.620 0.526 8.313
N 1.620 -0.526 2.771
N 1.620 -2.483 6.855
N 1.620 -2.483 9.772
```

Formation energy from raw total energies in eV/atom: -1.2203
DOS(E_F) in states/eV per cell: 14.588
Calculated volume in Å³ per atom: 12.2